Entry 1:
DFT (PBE-GGA) results for a relaxed Pr8Sm2Dy3 crystal.

Computed properties:
Spin magnetization (μB/atom): 0.00
Uncorrected energy (eV/atom): -4.533
Excess energy over the best structure of this formula in the dataset (meV/atom): 38
Formation energy (eV per atom): 0.1960

Geometry as POSCAR:
```
Pr8Sm2Dy3
1.0
-0.905 2.960 4.884
-7.642 -0.204 -1.293
3.167 -8.802 5.918
Dy Pr Sm
3 8 2
direct
0.500 0.000 0.000
0.000 0.284 0.000
0.000 0.716 0.000
0.500 0.809 0.209
0.500 0.191 0.791
0.001 0.869 0.739
0.500 0.600 0.791
0.999 0.131 0.261
0.000 0.327 0.655
0.500 0.400 0.209
0.000 0.673 0.345
0.501 0.760 0.520
0.499 0.240 0.480
```


Entry 2:
DFT (PBE-GGA) results for a relaxed Pr6SmDy2 crystal.

Computed properties:
Spin magnetization (μB/atom): 0.00
Uncorrected energy (eV/atom): -4.145
Excess energy over the best structure of this formula in the dataset (meV/atom): 457
Formation energy (eV per atom): 0.5886

Geometry as POSCAR:
```
Pr6SmDy2
1.0
-5.348 1.296 6.264
2.602 -7.018 3.673
7.433 5.483 5.211
Sm Pr Dy
2 12 4
direct
0.000 0.000 0.000
0.500 0.500 0.500
0.261 0.261 0.334
0.261 0.261 0.666
0.262 0.262 0.000
0.739 0.739 0.666
0.761 0.239 0.166
0.239 0.761 0.166
0.239 0.761 0.834
0.738 0.738 0.000
0.739 0.739 0.334
0.762 0.238 0.500
0.761 0.239 0.834
0.238 0.762 0.500
0.500 0.500 0.835
0.000 0.000 0.665
0.000 0.000 0.335
0.500 0.500 0.165
```


Entry 3:
DFT (PBE-GGA) results for a relaxed Pr4Sm4Dy5 crystal.

Computed properties:
Spin magnetization (μB/atom): 0.00
Uncorrected energy (eV/atom): -4.675
Formation energy (eV per atom): 0.0173

Geometry as POSCAR:
```
Pr4Sm4Dy5
1.0
4.946 0.000 1.258
2.473 9.254 0.629
0.193 0.000 9.597
Dy Sm Pr
5 4 4
direct
0.461 0.228 0.850
0.539 0.772 0.150
0.689 0.850 0.772
0.000 0.000 0.000
0.311 0.150 0.228
0.153 0.076 0.619
0.771 0.381 0.076
0.847 0.924 0.381
0.229 0.619 0.924
0.921 0.462 0.696
0.079 0.538 0.304
0.617 0.304 0.462
0.383 0.696 0.538
```